# 1
! NiW2Au GGA-PBE relaxed; values from VASP
! - magnetic moment (μB/cell) = 0.0
! - E above lowest polymorph (kcal/mol of atoms) = 2.67
&SYSTEM
  ibrav = 0, nat = 4, ntyp = 3
/
ATOMIC_SPECIES
Ni 58.69 Ni.upf
W 183.84 W.upf
Au 196.97 Au.upf
ATOMIC_POSITIONS crystal
Ni 0.0000 0.0000 0.0000
W 0.2498 0.7498 0.5000
W 0.7502 0.2502 0.5000
Au 0.5000 0.5000 0.0000
CELL_PARAMETERS angstrom
-1.8943 1.9011 4.1968
1.8943 -1.9011 4.1968
1.8943 1.9011 -4.1968



# 2
! LiDyAu2 GGA-PBE relaxed; values from VASP
! - magnetic moment (μB/cell) = 0.0
! - E above lowest polymorph (kcal/mol of atoms) = 0.00
&SYSTEM
  ibrav = 0, nat = 4, ntyp = 3
/
ATOMIC_SPECIES
Li 6.94 Li.upf
Dy 162.50 Dy.upf
Au 196.97 Au.upf
ATOMIC_POSITIONS crystal
Li 0.0000 0.0000 0.0000
Dy 0.5000 0.5000 0.5000
Au 0.2720 0.2720 0.2720
Au 0.7280 0.7280 0.7280
CELL_PARAMETERS angstrom
2.3169 1.3376 4.3705
-2.3169 1.3376 4.3705
0.0000 -2.6753 4.3705



# 3
! Sm2Er3Th2 GGA-PBE relaxed; values from VASP
! - magnetic moment (μB/cell) = 0.0
! - E above lowest polymorph (kcal/mol of atoms) = 0.00
&SYSTEM
  ibrav = 0, nat = 7, ntyp = 3
/
ATOMIC_SPECIES
Sm 150.36 Sm.upf
Er 167.26 Er.upf
Th 232.04 Th.upf
ATOMIC_POSITIONS crystal
Sm 0.2156 0.4326 0.1421
Sm 0.7844 0.5674 0.8579
Er 0.3622 0.7227 0.5654
Er 0.5000 0.0000 0.0000
Er 0.6378 0.2773 0.4346
Th 0.0687 0.1367 0.7116
Th 0.9313 0.8633 0.2884
CELL_PARAMETERS angstrom
3.5828 0.0000 0.0000
-1.7863 7.7321 0.0000
-0.0017 -3.1301 8.1027



# 4
! K2ReTcCl GGA-PBE relaxed; values from VASP
! - magnetic moment (μB/cell) = 6.1
! - energy relative to the elements, uncorrected (kcal/mol of atoms) = 37.84
&SYSTEM
  ibrav = 0, nat = 5, ntyp = 4
/
ATOMIC_SPECIES
K 39.10 K.upf
Re 186.21 Re.upf
Tc 98.00 Tc.upf
Cl 35.45 Cl.upf
ATOMIC_POSITIONS crystal
K 0.0000 0.5000 0.0000
K 0.5000 0.0000 0.0000
Re 0.0000 0.0000 0.5000
Tc 0.5000 0.5000 0.0000
Cl 0.5000 0.5000 0.5000
CELL_PARAMETERS angstrom
6.4859 0.0000 0.0000
0.0000 6.4859 0.0000
0.0000 0.0000 4.4690



# 5
! HoLuPtAu GGA-PBE relaxed; values from VASP
! - total energy (eV for the cell shown) = -22.7
! - magnetic moment (μB/cell) = 0.0
&SYSTEM
  ibrav = 0, nat = 4, ntyp = 4
/
ATOMIC_SPECIES
Ho 164.93 Ho.upf
Lu 174.97 Lu.upf
Pt 195.08 Pt.upf
Au 196.97 Au.upf
ATOMIC_POSITIONS crystal
Ho 0.0000 0.0000 0.0000
Lu 0.5000 0.5000 0.5000
Pt 0.7500 0.7500 0.7500
Au 0.2500 0.2500 0.2500
CELL_PARAMETERS angstrom
0.0000 3.5015 3.5015
3.5015 0.0000 3.5015
3.5015 3.5015 0.0000



# 6
! Rb2Pm2HfSe6 GGA-PBE relaxed; values from VASP
! - magnetic moment (μB/cell) = 0.0
! - energy relative to the elements, uncorrected (kcal/mol of atoms) = -37.61
&SYSTEM
  ibrav = 0, nat = 11, ntyp = 4
/
ATOMIC_SPECIES
Rb 85.47 Rb.upf
Pm 145.00 Pm.upf
Hf 178.49 Hf.upf
Se 78.96 Se.upf
ATOMIC_POSITIONS crystal
Rb 0.1719 0.8281 0.0000
Rb 0.8281 0.1719 0.0000
Pm 0.3331 0.6669 0.5000
Pm 0.6669 0.3331 0.5000
Hf 0.0000 0.0000 0.5000
Se 0.0677 0.3763 0.6923
Se 0.2409 0.2409 0.3095
Se 0.3763 0.0677 0.6923
Se 0.6237 0.9323 0.3077
Se 0.7591 0.7591 0.6905
Se 0.9323 0.6237 0.3077
CELL_PARAMETERS angstrom
3.6238 -6.2066 0.0000
3.6238 6.2066 0.0000
-2.5067 0.0000 8.1854



# 7
! ZnFeTe2 GGA-PBE relaxed; values from VASP
! - magnetic moment (μB/cell) = 2.2
! - energy relative to the elements, uncorrected (kcal/mol of atoms) = 7.26
&SYSTEM
  ibrav = 0, nat = 4, ntyp = 3
/
ATOMIC_SPECIES
Zn 65.41 Zn.upf
Fe 55.84 Fe.upf
Te 127.60 Te.upf
ATOMIC_POSITIONS crystal
Zn 0.0000 0.0000 0.0000
Fe 0.0000 0.0000 0.5000
Te 0.5000 0.5000 0.2943
Te 0.5000 0.5000 0.7057
CELL_PARAMETERS angstrom
2.3239 -2.3306 0.0000
2.3239 2.3306 0.0000
0.0000 0.0000 7.9136



# 8
! Mg2CdPt GGA-PBE relaxed; values from VASP
! - total energy (eV for the cell shown) = -11.6
! - magnetic moment (μB/cell) = 0.0
&SYSTEM
  ibrav = 0, nat = 4, ntyp = 3
/
ATOMIC_SPECIES
Mg 24.30 Mg.upf
Cd 112.41 Cd.upf
Pt 195.08 Pt.upf
ATOMIC_POSITIONS crystal
Mg 0.0000 0.0000 0.0000
Mg 0.5000 0.5000 0.2846
Cd 0.5000 0.5000 0.7395
Pt 0.0000 0.0000 0.4706
CELL_PARAMETERS angstrom
3.4708 0.0000 0.0000
0.0000 3.4708 0.0000
0.0000 0.0000 6.2414



# 9
! NaAg7Pd3 GGA-PBE relaxed; values from VASP
! - total energy (eV for the cell shown) = -35.2
! - magnetic moment (μB/cell) = 0.0
&SYSTEM
  ibrav = 0, nat = 11, ntyp = 3
/
ATOMIC_SPECIES
Na 22.99 Na.upf
Ag 107.87 Ag.upf
Pd 106.42 Pd.upf
ATOMIC_POSITIONS crystal
Na 0.0000 0.0000 0.0000
Ag 0.0000 0.5000 0.5000
Ag 0.0966 0.2725 0.8241
Ag 0.3244 0.0000 0.3244
Ag 0.4483 0.2725 0.1759
Ag 0.5517 0.7275 0.8241
Ag 0.6756 0.0000 0.6756
Ag 0.9034 0.7275 0.1759
Pd 0.2703 0.7703 0.5000
Pd 0.5000 0.5000 0.0000
Pd 0.7297 0.2297 0.5000
CELL_PARAMETERS angstrom
-2.4539 4.3091 4.9309
2.4539 -4.3091 4.9309
2.4539 4.3091 -4.9309